First-principles (PBE-GGA) data for a relaxed TmNpTc crystal, as listed in the Open Quantum Materials Database.

a b c (Å): 6.3985 6.3985 6.3985
angles (deg): 90.00 90.00 90.00
Space group F-43m (No. 216)
Asymmetric unit:
Tm1 0.0000 0.0000 0.0000 (multiplicity 4)
Np1 0.2500 0.2500 0.7500 (multiplicity 4)
Tc1 0.0000 0.0000 0.5000 (multiplicity 4)

Spin magnetization ... 3.3 μB per formula unit
Energy above the most stable polymorph in this dataset ... 0.000 eV/atom
Crystal system ... cubic
Theoretical density ... 12.778 Mg/m³
Total energy ... -8.1384 eV/atom